This record from Alexandria describes a PBEsol-optimized structure of BaMnSe4. The functional is SCAN.

Properties
Formation energy (no corrections): -0.1836 eV per atom
Space group: F-43m (216)
Crystal system: cubic

Lattice parameters (Å, degrees): 5.8804 5.8804 5.8804 60.00 60.00 60.00
Each line ends with the local moment (μB).
Fractional coordinates of all 6 atoms:
1 Ba 0.7500 0.7500 0.7500  0.05
2 Mn 0.0000 0.0000 0.0000  4.84
3 Se 0.3733 0.3733 0.3733  0.07
4 Se 0.3733 0.3733 0.8800  0.07
5 Se 0.8800 0.3733 0.3733  0.07
6 Se 0.3733 0.8800 0.3733  0.07

This record from Alexandria describes a PBEsol-optimized structure of BaMnSi2. The functional is SCAN.

Properties
Formation energy (no corrections): 0.2075 eV per atom
Space group: Imm2 (44)
Crystal system: orthorhombic

Lattice parameters (Å, degrees): 4.2093 5.2862 5.2862 72.08 66.54 66.54
Each line ends with the local moment (μB).
Fractional coordinates of all 4 atoms:
1 Ba 0.4921 0.5079 0.5079  0.06
2 Mn 0.3487 0.1513 0.1513  3.67
3 Si 0.9940 0.0060 0.0060  -0.13
4 Si 0.6653 0.8347 0.8347  -0.05

This record from Alexandria describes a PBEsol-optimized structure of BaMnSi2. The functional is SCAN.

Properties
Formation energy (no corrections): -0.2892 eV per atom
Space group: R-3m (166)
Crystal system: trigonal

Lattice parameters (Å, degrees): 4.0372 4.0372 6.4352 71.72 71.72 60.00
Each line ends with the local moment (μB).
Fractional coordinates of all 4 atoms:
1 Ba 0.5000 0.5000 0.5000  0.01
2 Mn 0.0000 0.0000 0.0000  2.92
3 Si 0.2978 0.2978 0.1067  -0.04
4 Si 0.7022 0.7022 0.8933  -0.04

This record from Alexandria describes a PBEsol-optimized structure of Ba3MnSi. The functional is SCAN.

Properties
Formation energy (no corrections): 0.2470 eV per atom
Space group: Pm-3m (221)
Crystal system: cubic

Lattice parameters (Å, degrees): 6.2752 6.2752 6.2752 90.00 90.00 90.00
Each line ends with the local moment (μB).
Fractional coordinates of all 5 atoms:
1 Si 0.0000 0.0000 0.0000  0.09
2 Mn 0.5000 0.5000 0.5000  4.85
3 Ba 0.0000 0.5000 0.0000  0.09
4 Ba 0.0000 0.0000 0.5000  0.09
5 Ba 0.5000 0.0000 0.0000  0.09

This record from Alexandria describes a PBEsol-optimized structure of BaSr2Mn. The functional is SCAN.

Properties
Space group: P4/mmm (123)
Crystal system: tetragonal
E_form: 0.29 eV/atom

Lattice parameters (Å, degrees): 5.3480 5.4867 5.4867 90.00 90.00 90.00
Each line ends with the local moment (μB).
Fractional coordinates of all 4 atoms:
1 Ba 0.5000 0.5000 0.5000  0.02
2 Mn 0.5000 0.0000 0.0000  4.57
3 Sr 0.0000 0.0000 0.5000  0.01
4 Sr 0.0000 0.5000 0.0000  0.01

This record from Alexandria describes a PBEsol-optimized structure of BaSrMn. The functional is SCAN.

Properties
Space group: F-43m (216)
Crystal system: cubic
E_form: 0.41 eV/atom

Lattice parameters (Å, degrees): 5.5715 5.5715 5.5715 60.00 60.00 60.00
Each line ends with the local moment (μB).
Fractional coordinates of all 3 atoms:
1 Ba 0.5000 0.5000 0.5000  -0.07
2 Mn 0.2500 0.2500 0.2500  4.25
3 Sr 0.0000 0.0000 0.0000  -0.03

This record from Alexandria describes a PBEsol-optimized structure of BaSrMn3. The functional is SCAN.

Properties
Space group: Pm-3m (221)
Crystal system: cubic
E_form: 0.98 eV/atom

Lattice parameters (Å, degrees): 5.4514 5.4514 5.4514 90.00 90.00 90.00
Each line ends with the local moment (μB).
Fractional coordinates of all 5 atoms:
1 Sr 0.0000 0.0000 0.0000  -0.13
2 Mn 0.0000 0.5000 0.0000  4.28
3 Mn 0.0000 0.0000 0.5000  4.28
4 Mn 0.5000 0.0000 0.0000  4.28
5 Ba 0.5000 0.5000 0.5000  -0.06

This record from Alexandria describes a PBEsol-optimized structure of Ba2TaMn. The functional is SCAN.

Properties
Space group: Cmmm (65)
Crystal system: orthorhombic
E_form: 1.07 eV/atom

Lattice parameters (Å, degrees): 3.2592 3.2592 10.4053 90.00 90.00 90.13
Each line ends with the local moment (μB).
Fractional coordinates of all 4 atoms:
1 Ba 0.0000 0.0000 0.2522  -0.06
2 Ba 0.0000 0.0000 0.7478  -0.06
3 Mn 0.5000 0.5000 0.5000  4.31
4 Ta 0.5000 0.5000 0.0000  0.28